10
Lattice="7.136 0.000 0.000 0.000 7.136 0.000 0.000 0.000 4.312" Properties=species:S:1:pos:R:3 comment="Nb2Cd2Sn (GGA-PBE, relaxed)" volume_a3_per_cell=220 final_energy_ev_per_atom=-4.9175 formation_enthalpy_0k_ev_per_atom=0.277 pbc="T T T"
Nb 0.952 2.616 0.000
Nb 2.616 6.184 0.000
Nb 4.521 0.952 0.000
Nb 6.184 4.521 0.000
Cd 1.163 4.731 2.156
Cd 2.405 1.163 2.156
Cd 4.731 5.973 2.156
Cd 5.973 2.405 2.156
Sn 0.000 0.000 0.000
Sn 3.568 3.568 0.000